(1)
# TlTc2Ir

An optimized crystal structure of TlTc2Ir (GGA-PBE, Alexandria).

a = 2.819 Å, b = 4.000 Å, c = 5.975 Å
α = 90.00°, β = 90.00°, γ = 90.00°
Space group Pmmm (No. 47)
One atom of each set of equivalent atoms:
Tl (0.000, 0.000, 0.000) (multiplicity 1)
Tc (0.500, 0.500, 0.295) (multiplicity 2)
Ir (0.000, 0.000, 0.500) (multiplicity 1)

Values from the calculation:
total energy	-7.54	eV per atom
crystal system	orthorhombic
energy relative to the elements	449	meV per atom


(2)
# Tl2TcIr

An optimized crystal structure of Tl2TcIr (GGA-PBE, Alexandria).

a = 6.180 Å, b = 9.259 Å, c = 3.008 Å
α = 90.00°, β = 117.83°, γ = 90.00°
Space group C2/m (No. 12)
One atom of each set of equivalent atoms:
Tl (0.250, 0.250, 0.000) (multiplicity 4)
Tc (0.000, 0.000, 0.500) (multiplicity 2)
Ir (0.000, 0.500, 0.500) (multiplicity 2)

Values from the calculation:
total energy	-5.20	eV per atom
crystal system	monoclinic
energy relative to the elements	786	meV per atom


(3)
# TlTc3Ir

An optimized crystal structure of TlTc3Ir (GGA-PBE, Alexandria).

a = 4.772 Å, b = 4.772 Å, c = 4.772 Å
α = 90.00°, β = 90.00°, γ = 90.00°
Space group Pm-3m (No. 221)
One atom of each set of equivalent atoms:
Tl (0.000, 0.000, 0.000) (multiplicity 1)
Tc (0.000, 0.500, 0.500) (multiplicity 3)
Ir (0.500, 0.500, 0.500) (multiplicity 1)

Values from the calculation:
total energy	-6.87	eV per atom
crystal system	cubic
energy relative to the elements	1595	meV per atom


(4)
# TlTc2Ir

An optimized crystal structure of TlTc2Ir (GGA-PBE, Alexandria).

a = 2.892 Å, b = 2.892 Å, c = 7.894 Å
α = 90.00°, β = 90.00°, γ = 90.00°
Space group P4mm (No. 99)
One atom of each set of equivalent atoms:
Tl (0.000, 0.000, 0.000) (multiplicity 1)
Tc (0.000, 0.000, 0.505) (multiplicity 1)
Tc (0.500, 0.500, 0.719) (multiplicity 1)
Ir (0.500, 0.500, 0.278) (multiplicity 1)

Values from the calculation:
total energy	-7.66	eV per atom
crystal system	tetragonal
energy relative to the elements	327	meV per atom


(5)
# TlTc2Ir

An optimized crystal structure of TlTc2Ir (GGA-PBE, Alexandria).

a = 3.855 Å, b = 3.855 Å, c = 4.402 Å
α = 90.00°, β = 90.00°, γ = 90.00°
Space group P4/mmm (No. 123)
One atom of each set of equivalent atoms:
Tl (0.000, 0.000, 0.000) (multiplicity 1)
Tc (0.000, 0.500, 0.500) (multiplicity 2)
Ir (0.500, 0.500, 0.000) (multiplicity 1)

Values from the calculation:
total energy	-7.35	eV per atom
crystal system	tetragonal
energy relative to the elements	636	meV per atom


(6)
# TlTcIr

An optimized crystal structure of TlTcIr (GGA-PBE, Alexandria).

a = 2.9253 Å, b = 2.9253 Å, c = 7.0320 Å
α = 90.00°, β = 90.00°, γ = 120.00°
Space group P3m1 (No. 156)
One atom of each set of equivalent atoms:
Tl (0.0000, 0.0000, 0.0000) (multiplicity 1)
Tc (0.6667, 0.3333, 0.6445) (multiplicity 1)
Ir (0.3333, 0.6667, 0.3602) (multiplicity 1)

Values from the calculation:
total energy	-6.71	eV per atom
crystal system	trigonal
energy relative to the elements	488	meV per atom


(7)
# TlTc2Ir

An optimized crystal structure of TlTc2Ir (GGA-PBE, Alexandria).

a = 6.406 Å, b = 6.406 Å, c = 6.406 Å
α = 90.00°, β = 90.00°, γ = 90.00°
Space group Fm-3m (No. 225)
One atom of each set of equivalent atoms:
Tl (0.000, 0.000, 0.000) (multiplicity 4)
Tc (0.250, 0.250, 0.250) (multiplicity 8)
Ir (0.000, 0.000, 0.500) (multiplicity 4)

Values from the calculation:
total energy	-7.30	eV per atom
crystal system	cubic
energy relative to the elements	692	meV per atom


(8)
# TlTcIr2

An optimized crystal structure of TlTcIr2 (GGA-PBE, Alexandria).

a = 9.212 Å, b = 2.872 Å, c = 5.065 Å
α = 90.00°, β = 100.26°, γ = 90.00°
Space group Cm (No. 8)
One atom of each set of equivalent atoms:
Tl (0.000, 0.000, 0.000) (multiplicity 2)
Tc (0.240, 0.000, 0.693) (multiplicity 2)
Ir (0.003, 0.500, 0.510) (multiplicity 2)
Ir (0.258, 0.500, 0.254) (multiplicity 2)

Values from the calculation:
total energy	-7.22	eV per atom
crystal system	monoclinic
energy relative to the elements	394	meV per atom


(9)
# TlTcIr3

An optimized crystal structure of TlTcIr3 (GGA-PBE, Alexandria).

a = 4.760 Å, b = 4.760 Å, c = 4.760 Å
α = 90.00°, β = 90.00°, γ = 90.00°
Space group Pm-3m (No. 221)
One atom of each set of equivalent atoms:
Tl (0.000, 0.000, 0.000) (multiplicity 1)
Tc (0.500, 0.500, 0.500) (multiplicity 1)
Ir (0.000, 0.500, 0.500) (multiplicity 3)

Values from the calculation:
total energy	-6.38	eV per atom
crystal system	cubic
energy relative to the elements	1482	meV per atom


(10)
# Tl2TcIr

An optimized crystal structure of Tl2TcIr (GGA-PBE, Alexandria).

a = 9.062 Å, b = 3.057 Å, c = 5.503 Å
α = 90.00°, β = 100.69°, γ = 90.00°
Space group C2/m (No. 12)
One atom of each set of equivalent atoms:
Tl (0.250, 0.000, 0.250) (multiplicity 4)
Tc (0.000, 0.000, 0.500) (multiplicity 2)
Ir (0.000, 0.500, 0.000) (multiplicity 2)

Values from the calculation:
total energy	-5.25	eV per atom
crystal system	monoclinic
energy relative to the elements	739	meV per atom


(11)
# TlTc2Ir

An optimized crystal structure of TlTc2Ir (GGA-PBE, Alexandria).

a = 2.852 Å, b = 3.896 Å, c = 5.954 Å
α = 90.00°, β = 90.00°, γ = 90.00°
Space group Pmm2 (No. 25)
One atom of each set of equivalent atoms:
Tl (0.000, 0.000, 0.000) (multiplicity 1)
Tc (0.000, 0.000, 0.511) (multiplicity 1)
Tc (0.500, 0.500, 0.707) (multiplicity 1)
Ir (0.500, 0.500, 0.271) (multiplicity 1)

Values from the calculation:
total energy	-7.58	eV per atom
crystal system	orthorhombic
energy relative to the elements	414	meV per atom


(12)
# TlTcIr2

An optimized crystal structure of TlTcIr2 (GGA-PBE, Alexandria).

a = 6.469 Å, b = 6.469 Å, c = 6.469 Å
α = 90.00°, β = 90.00°, γ = 90.00°
Space group Fm-3m (No. 225)
One atom of each set of equivalent atoms:
Tl (0.000, 0.000, 0.000) (multiplicity 4)
Tc (0.000, 0.000, 0.500) (multiplicity 4)
Ir (0.250, 0.250, 0.250) (multiplicity 8)

Values from the calculation:
total energy	-6.96	eV per atom
crystal system	cubic
energy relative to the elements	650	meV per atom


(13)
# TlTcIr2

An optimized crystal structure of TlTcIr2 (GGA-PBE, Alexandria).

a = 2.869 Å, b = 2.869 Å, c = 7.976 Å
α = 90.00°, β = 90.00°, γ = 90.00°
Space group P4mm (No. 99)
One atom of each set of equivalent atoms:
Tl (0.000, 0.000, 0.000) (multiplicity 1)
Tc (0.500, 0.500, 0.722) (multiplicity 1)
Ir (0.000, 0.000, 0.509) (multiplicity 1)
Ir (0.500, 0.500, 0.269) (multiplicity 1)

Values from the calculation:
total energy	-7.22	eV per atom
crystal system	tetragonal
energy relative to the elements	392	meV per atom


(14)
# Tm2Tc3Ir

An optimized crystal structure of Tm2Tc3Ir (GGA-PBE, Alexandria).

a = 8.993 Å, b = 5.207 Å, c = 5.524 Å
α = 90.00°, β = 122.95°, γ = 90.00°
Space group C2/m (No. 12)
One atom of each set of equivalent atoms:
Tm (0.124, 0.000, 0.372) (multiplicity 4)
Tc (0.000, 0.500, 0.000) (multiplicity 2)
Tc (0.250, 0.250, 0.000) (multiplicity 4)
Ir (0.000, 0.500, 0.500) (multiplicity 2)

Values from the calculation:
total energy	-8.55	eV per atom
crystal system	monoclinic
energy relative to the elements	-404	meV per atom


(15)
# TmTcIr

An optimized crystal structure of TmTcIr (GGA-PBE, Alexandria).

a = 6.6743 Å, b = 6.6743 Å, c = 4.3690 Å
α = 90.00°, β = 90.00°, γ = 120.00°
Space group P-62m (No. 189)
One atom of each set of equivalent atoms:
Tm (0.0000, 0.4172, 0.0000) (multiplicity 3)
Tc (0.0000, 0.7610, 0.5000) (multiplicity 3)
Ir (0.0000, 0.0000, 0.0000) (multiplicity 1)
Ir (0.3333, 0.6667, 0.5000) (multiplicity 2)

Values from the calculation:
total energy	-8.28	eV per atom
crystal system	hexagonal
energy relative to the elements	-381	meV per atom